An optimized crystal structure of NaLi2Gd. Source: Alexandria via LeMat-Bulk, functional PBE.

Properties
- distance to the lowest polymorph of the same formula (eV/atom) = 0.0775
- formation energy from the elements (kJ/mol of formula units) = 80

Cell lengths 3.306, 3.306, 12.046 Å; angles 82.11, 82.11, 60.00 degrees
Fractional coordinates of all 4 atoms:
Na 0.500 0.500 0.500
Gd 0.000 0.000 0.000
Li 0.086 0.086 0.741
Li 0.914 0.914 0.259